Record 1
CaAcPbI | PBE-GGA | relaxed

Cell lengths 5.790, 5.790, 5.790 Å; angles 60.00, 60.00, 60.00 degrees
Fractional positions:
Pb1 0.000 0.000 0.000
I1 0.500 0.500 0.500
Ac1 0.250 0.250 0.250
Ca1 0.750 0.750 0.750

Results
formation energy from raw total energies = -748 meV/atom
M_tot = 0.00 Bohr magnetons per cell


Record 2
SrLa3Zn | PBE-GGA | relaxed

Cell lengths 5.902, 5.902, 5.902 Å; angles 90.00, 90.00, 90.00 degrees
Fractional positions:
Sr1 0.500 0.500 0.500
Zn1 0.000 0.000 0.000
La1 0.000 0.500 0.000
La2 0.000 0.000 0.500
La3 0.500 0.000 0.000

Results
M_tot = 0.00 Bohr magnetons per cell
ΔE_f = 129 meV per atom
energy above the lowest structure with this stoichiometry = 0 meV/atom


Record 3
Tl2F3 | PBE-GGA | relaxed

Cell lengths 4.721, 4.721, 4.721 Å; angles 90.00, 90.00, 90.00 degrees
Fractional positions:
Tl1 0.500 0.500 0.500
Tl2 0.000 0.000 0.000
F1 0.500 0.000 0.000
F2 0.000 0.500 0.000
F3 0.000 0.000 0.500

Results
formation energy from raw total energies = -1745 meV/atom
M_tot = 0.00 Bohr magnetons per cell


Record 4
RbNa2ZnPd | PBE-GGA | relaxed

Cell lengths 5.644, 5.644, 5.017 Å; angles 90.00, 90.00, 90.00 degrees
Fractional positions:
Na1 0.000 0.500 0.000
Na2 0.500 0.000 0.000
Zn1 0.000 0.000 0.500
Rb1 0.500 0.500 0.500
Pd1 0.000 0.000 0.000

Results
M_tot = 0.00 Bohr magnetons per cell
ΔE_f = -34 meV per atom


Record 5
NaHf2C | PBE-GGA | relaxed

Cell lengths 7.357, 7.357, 5.972 Å; angles 51.98, 51.98, 90.00 degrees
Fractional positions:
Na1 0.000 0.000 0.000
Na2 0.750 0.250 0.500
C1 0.500 0.500 0.000
C2 0.250 0.750 0.500
Hf1 0.506 0.125 0.250
Hf2 0.244 0.625 0.250
Hf3 0.375 0.494 0.750
Hf4 0.875 0.756 0.750

Results
M_tot = 0.00 Bohr magnetons per cell
ΔE_f = 449 meV per atom


Record 6
KCIO2 | PBE-GGA | relaxed

Cell lengths 4.373, 4.373, 4.493 Å; angles 90.00, 90.00, 90.00 degrees
Last column: magnetic moment on the atom in μB.
Fractional positions:
I1 0.000 0.000 0.500  0.13
K1 0.500 0.500 0.500  0.00
C1 0.000 0.000 0.000  -0.09
O1 0.000 0.500 0.000  0.69
O2 0.500 0.000 0.000  0.69

Results
formation energy from raw total energies = 965 meV/atom
M_tot = 1.67 Bohr magnetons per cell
energy above the lowest structure with this stoichiometry = 0 meV/atom


Record 7
Dy2SiNi | PBE-GGA | relaxed

Cell lengths 4.088, 5.760, 7.749 Å; angles 110.48, 90.00, 90.00 degrees
Fractional positions:
Dy1 0.750 0.222 0.413
Dy2 0.250 0.778 0.587
Dy3 0.250 0.777 0.056
Dy4 0.750 0.223 0.944
Si1 0.750 0.657 0.290
Si2 0.250 0.343 0.710
Ni1 0.250 0.393 0.222
Ni2 0.750 0.607 0.778

Results
formation energy from raw total energies = -640 meV/atom
M_tot = 0.00 Bohr magnetons per cell
energy above the lowest structure with this stoichiometry = 0 meV/atom


Record 8
BaGaH | PBE-GGA | relaxed

Cell lengths 4.392, 4.392, 26.801 Å; angles 90.00, 90.00, 120.00 degrees
Fractional positions:
H1 0.000 0.000 0.300
H2 0.000 0.000 0.700
H3 0.333 0.667 0.967
H4 0.333 0.667 0.367
H5 0.667 0.333 0.633
H6 0.667 0.333 0.033
Ba1 0.000 0.000 0.402
Ba2 0.000 0.000 0.598
Ba3 0.333 0.667 0.068
Ba4 0.333 0.667 0.265
Ba5 0.667 0.333 0.735
Ba6 0.667 0.333 0.932
Ga1 0.000 0.000 0.168
Ga2 0.000 0.000 0.832
Ga3 0.333 0.667 0.834
Ga4 0.333 0.667 0.499
Ga5 0.667 0.333 0.501
Ga6 0.667 0.333 0.166

Results
M_tot = 0.00 Bohr magnetons per cell
energy above the lowest structure with this stoichiometry = 0 meV/atom


In order of appearance, V = 34.32, 41.11, 21.04, 31.96, 19.84, 17.18, 21.36, 24.88 Å³ per atom.